VASP calculation (GGA-PBEsol) on crystalline Sc3C2 at its relaxed geometry.

Calculated values
The value obtained for the energy of formation from the pure elements is -0.48 eV per atom. For the raw total energy, the calculation gives -8.296 eV/atom. The energy relative to the lowest polymorph listed for this composition is 0.8 kJ/mol of atoms.

Cell lengths 8.7155, 8.7155, 8.7155 Å; angles 22.03, 22.03, 22.03 degrees
Closest atoms and distances in Å follow each position.
Fractional positions:
Sc1 0.0000 0.0000 0.0000  6 C 2.40
Sc2 0.2363 0.2363 0.2363  3 C 2.18
Sc3 0.7637 0.7637 0.7637  3 C 2.18
C1 0.3898 0.3898 0.3898  6 Sc 2.18-2.40
C2 0.6102 0.6102 0.6102  6 Sc 2.18-2.40